This record from Alexandria describes crystalline Ac4BiIr2 at its relaxed geometry. The functional is PBE.

a = 8.8157 Å, b = 8.8157 Å, c = 8.8157 Å
α = 111.31°, β = 111.28°, γ = 105.88°
Closest atoms and distances in Å follow each position.
Positions (direct):
Ac1 0.1541 0.4606 0.6935  3 Ir 2.91-3.09
Ac2 0.1814 0.0000 0.1814  3 Ir 2.96-3.14, 1 Bi 3.26
Ac3 0.2499 0.5684 0.3185  3 Ir 2.96-3.14, 1 Bi 3.26
Ac4 0.2499 0.9314 0.6815  3 Ir 2.96-3.14, 1 Bi 3.26
Ac5 0.7104 0.5169 0.8064  3 Ir 2.91-3.09
Ac6 0.7104 0.9040 0.1936  3 Ir 2.91-3.09
Ac7 0.7670 0.4606 0.3065  3 Ir 2.91-3.09
Ac8 0.8186 0.0000 0.8186  3 Ir 2.96-3.14, 1 Bi 3.26
Bi1 0.3228 0.3228 0.0000  4 Ac 3.26-3.38
Bi2 0.5721 0.0721 0.5000  4 Ac 3.26-3.38
Ir1 0.4848 0.7276 0.7573  6 Ac 2.91-3.14
Ir2 0.9703 0.7276 0.2427  6 Ac 2.91-3.14
Ir3 0.9775 0.2347 0.2572  6 Ac 2.91-3.14
Ir4 0.9775 0.7203 0.7428  6 Ac 2.91-3.14

Properties
energy relative to the lowest polymorph listed for this composition	123.5	meV/atom
formation energy	-0.591	eV/atom
total magnetization	0.00	μB per formula unit